The following is a DFT calculation (PBE) of crystalline SrOs2Pb at its relaxed geometry.

a = 3.0012 Å, b = 4.8602 Å, c = 6.0555 Å
α = 90.00°, β = 97.23°, γ = 90.00°
Space group P2/m (No. 10)
Unique sites:
1 Sr 0.0000 0.0000 0.0000
2 Os 0.3047 0.5000 0.6854
3 Pb 0.5000 0.0000 0.5000

---

The following is a DFT calculation (PBE) of crystalline Sr2OsPb at its relaxed geometry.

a = 4.5594 Å, b = 4.7784 Å, c = 11.6579 Å
α = 90.00°, β = 90.00°, γ = 90.00°
Space group Amm2 (No. 38)
Unique sites:
1 Sr 0.0000 0.0000 0.0000
2 Sr 0.5000 0.0000 0.2849
3 Os 0.0000 0.0000 0.7053
4 Pb 0.5000 0.0000 0.5819

---

The following is a DFT calculation (PBE) of crystalline SrOs2Pb at its relaxed geometry.

a = 3.2301 Å, b = 3.2301 Å, c = 27.6037 Å
α = 90.00°, β = 90.00°, γ = 120.00°
Space group R-3m (No. 166, hexagonal axes)
Unique sites:
1 Sr 0.0000 0.0000 0.0000
2 Os 0.0000 0.0000 0.2426
3 Pb 0.0000 0.0000 0.5000

---

The following is a DFT calculation (PBE) of crystalline Sr2OsPb at its relaxed geometry.

a = 7.1315 Å, b = 9.1725 Å, c = 3.3926 Å
α = 90.00°, β = 90.00°, γ = 90.00°
Space group Cmmm (No. 65)
Unique sites:
1 Sr 0.2500 0.2500 0.0000
2 Os 0.0000 0.0000 0.5000
3 Pb 0.0000 0.5000 0.5000

---

no.,M_tot (μB per cell),DFT formation energy (eV per atom)
1,0.00,1.03
2,0.00,0.23
3,0.00,1.25
4,1.77,0.49